Entry from Alexandria via LeMat-Bulk: a relaxed PPt2Au crystal (PBE).

CIF file:
```
data_PPt2Au
_chemical_formula_sum 'P3 Pt6 Au3'
_symmetry_space_group_name_H-M 'R 3 m'
_symmetry_Int_Tables_number 160
_symmetry_space_group_name_Hall 'R 3 -2"'
_cell_length_a 3.0970
_cell_length_b 3.0970
_cell_length_c 23.8048
_cell_angle_alpha 90.00
_cell_angle_beta 90.00
_cell_angle_gamma 120.00
loop_
_atom_site_label
_atom_site_fract_x
_atom_site_fract_y
_atom_site_fract_z
P1 0.0000 0.0000 0.0000
Pt1 0.0000 0.0000 0.2694
Pt2 0.0000 0.0000 0.5120
Au1 0.0000 0.0000 0.7525
```

Entry from Alexandria via LeMat-Bulk: a relaxed PPt2Au crystal (PBE).

CIF file:
```
data_PPt2Au
_chemical_formula_sum 'P1 Pt2 Au1'
_symmetry_space_group_name_H-M 'P 4/m m m'
_symmetry_Int_Tables_number 123
_symmetry_space_group_name_Hall '-P 4 2'
_cell_length_a 4.753
_cell_length_b 4.753
_cell_length_c 2.849
_cell_angle_alpha 90.00
_cell_angle_beta 90.00
_cell_angle_gamma 90.00
loop_
_atom_site_label
_atom_site_fract_x
_atom_site_fract_y
_atom_site_fract_z
P1 0.000 0.000 0.000
Pt1 0.000 0.500 0.500
Au1 0.500 0.500 0.000
```

Entry from Alexandria via LeMat-Bulk: a relaxed PPtAu2 crystal (PBE).

CIF file:
```
data_PPtAu2
_chemical_formula_sum 'P2 Pt2 Au4'
_symmetry_space_group_name_H-M 'C m m m'
_symmetry_Int_Tables_number 65
_symmetry_space_group_name_Hall '-C 2 2'
_cell_length_a 5.180
_cell_length_b 7.475
_cell_length_c 3.687
_cell_angle_alpha 90.00
_cell_angle_beta 90.00
_cell_angle_gamma 90.00
loop_
_atom_site_label
_atom_site_fract_x
_atom_site_fract_y
_atom_site_fract_z
P1 0.000 0.000 0.000
Pt1 0.000 0.500 0.000
Au1 0.000 0.228 0.500
```

no.,calculated total energy (eV/atom)
1,-5.17
2,-5.02
3,-4.39